No. 1
# PmPuPaSn (PBE, optimized geometry)
# Total magnetization, μB per formula unit: 7.1
# Formation energy from the elements, eV/atom: -0.022
# DOS(E_F), states/eV/f.u.: 7.07
data_PmPuPaSn
_chemical_formula_sum 'Pm1 Pu1 Pa1 Sn1'
_cell_length_a 5.3018
_cell_length_b 5.3018
_cell_length_c 5.3018
_cell_angle_alpha 60.00
_cell_angle_beta 60.00
_cell_angle_gamma 60.00
_space_group_name_H-M_alt 'P 1'
_space_group_IT_number 1
_space_group_name_Hall 'P 1'
loop_
_atom_site_label
_atom_site_fract_x
_atom_site_fract_y
_atom_site_fract_z
Pa1 0.7500 0.7500 0.7500
Pm1 0.5000 0.5000 0.5000
Sn1 0.2500 0.2500 0.2500
Pu1 0.0000 0.0000 0.0000

***

No. 2
# PmPu2PaTe5 (PBE, optimized geometry)
# Total magnetization, μB per formula unit: 13.5
# DOS(E_F), states/eV/f.u.: 26.10
# ΔE_f (raw), meV per atom: -500
data_PmPu2PaTe5
_chemical_formula_sum 'Pm1 Pu2 Pa1 Te5'
_cell_length_a 5.6217
_cell_length_b 5.6217
_cell_length_c 11.7281
_cell_angle_alpha 90.00
_cell_angle_beta 90.00
_cell_angle_gamma 90.00
_space_group_name_H-M_alt 'P 1'
_space_group_IT_number 1
_space_group_name_Hall 'P 1'
loop_
_atom_site_label
_atom_site_fract_x
_atom_site_fract_y
_atom_site_fract_z
Pm1 0.0000 0.0000 0.0000
Pu1 0.5000 0.5000 0.3370
Pu2 0.5000 0.5000 0.6630
Pa1 0.0000 0.0000 0.5000
Te1 0.0000 0.5000 0.5000
Te2 0.5000 0.0000 0.5000
Te3 0.0000 0.0000 0.7514
Te4 0.0000 0.0000 0.2486
Te5 0.5000 0.5000 0.0000

***

Question: Look up the total magnetization of the first one.
Answer: 7.1 μB per formula unit